# 1
Entry from OQMD: a relaxed Pm5BeC2 crystal (PBE-GGA).

Lattice parameters (Å, degrees): 6.5871 6.5871 4.2338 90.00 90.00 90.00
Element x y z (fractional)
Pm  0.0000  0.0000  0.0000
Pm  0.2748  0.2748  0.5000
Pm  0.2748  0.7252  0.5000
Pm  0.7252  0.2748  0.5000
Pm  0.7252  0.7252  0.5000
Be  0.0000  0.0000  0.5000
C  0.0000  0.5000  0.0000
C  0.5000  0.0000  0.0000

Summary:
Mass density in kg/m³: 6852
Total DFT energy (no corrections) in eV per atom: -4.57



# 2
Entry from OQMD: a relaxed PrBeC2 crystal (PBE-GGA).

Lattice parameters (Å, degrees): 3.6562 3.6562 8.0172 90.00 90.00 108.03
Element x y z (fractional)
Pr  0.0000  0.0000  0.0000
Pr  0.0000  0.0000  0.5000
Be  0.3742  0.6258  0.7500
Be  0.6258  0.3742  0.2500
C  0.1374  0.5425  0.2500
C  0.4575  0.8626  0.2500
C  0.5425  0.1374  0.7500
C  0.8626  0.4575  0.7500

Summary:
Mass density in kg/m³: 5668
Total DFT energy (no corrections) in eV per atom: -6.77



# 3
Entry from OQMD: a relaxed BePt3C crystal (PBE-GGA).

Lattice parameters (Å, degrees): 4.1231 4.1231 4.1231 90.00 90.00 90.00
Element x y z (fractional)
Be  0.0000  0.0000  0.0000
Pt  0.0000  0.5000  0.5000
Pt  0.5000  0.0000  0.5000
Pt  0.5000  0.5000  0.0000
C  0.5000  0.5000  0.5000

Summary:
Mass density in kg/m³: 14363
Total DFT energy (no corrections) in eV per atom: -5.80



# 4
Entry from OQMD: a relaxed Zr3BeC crystal (PBE-GGA).

Lattice parameters (Å, degrees): 4.4884 4.4884 4.4884 90.00 90.00 90.00
Element x y z (fractional)
Zr  0.0000  0.0000  0.5000
Zr  0.0000  0.5000  0.0000
Zr  0.5000  0.0000  0.0000
Be  0.5000  0.5000  0.5000
C  0.0000  0.0000  0.0000

Summary:
Mass density in kg/m³: 5412
Total DFT energy (no corrections) in eV per atom: -7.92



# 5
Entry from OQMD: a relaxed BeCd crystal (PBE-GGA).

Lattice parameters (Å, degrees): 3.6279 3.6279 3.6279 60.00 60.00 60.00
Element x y z (fractional)
Be  0.0000  0.0000  0.0000
Cd  0.5000  0.5000  0.5000

Summary:
Mass density in kg/m³: 5972
Distance to the lowest polymorph of the same formula in meV/atom: 246.8
Total DFT energy (no corrections) in eV per atom: -1.56



# 6
Entry from OQMD: a relaxed BeCd crystal (PBE-GGA).

Lattice parameters (Å, degrees): 4.3275 4.3275 4.7140 90.00 90.00 120.00
Element x y z (fractional)
Be  0.3333  0.6667  0.2500
Be  0.6667  0.3333  0.7500
Cd  0.3333  0.6667  0.7500
Cd  0.6667  0.3333  0.2500

Summary:
Mass density in kg/m³: 5275
Distance to the lowest polymorph of the same formula in meV/atom: 249.1
Total DFT energy (no corrections) in eV per atom: -1.55



# 7
Entry from OQMD: a relaxed BeCd crystal (PBE-GGA).

Lattice parameters (Å, degrees): 3.9459 3.9459 3.9459 60.00 60.00 60.00
Element x y z (fractional)
Be  0.0000  0.0000  0.0000
Cd  0.7500  0.7500  0.7500

Summary:
Mass density in kg/m³: 4641
Distance to the lowest polymorph of the same formula in meV/atom: 523.4
Total DFT energy (no corrections) in eV per atom: -1.28



# 8
Entry from OQMD: a relaxed Be2CdCo crystal (PBE-GGA).

Lattice parameters (Å, degrees): 4.0712 4.0712 4.0712 60.00 60.00 60.00
Element x y z (fractional)
Be  0.0000  0.0000  0.0000
Be  0.2500  0.2500  0.2500
Cd  0.7500  0.7500  0.7500
Co  0.5000  0.5000  0.5000

Summary:
Mass density in kg/m³: 6590
Total DFT energy (no corrections) in eV per atom: -3.52